ReTcAu2 (meta-GGA SCAN, PBEsol geometry); total magnetization = 0.000 μB/atom; total DFT energy (no corrections) = -241.57 eV for the cell shown; volume = 62 Å³/cell; symmetry = Fm-3m; energy of formation = 0.724 eV/atom
1.0
0.0000 3.1389 3.1389
3.1389 0.0000 3.1389
3.1389 3.1389 0.0000
Re Tc Au
1 1 2
Cartesian
0.0000 0.0000 0.0000
3.1389 3.1389 3.1389
1.5694 1.5694 1.5694
4.7083 4.7083 4.7083

ErAg (meta-GGA SCAN, PBEsol geometry); total magnetization = 0.000 μB/atom; total DFT energy (no corrections) = -82.51 eV for the cell shown; volume = 44 Å³/cell; symmetry = Pm-3m; energy of formation = -0.401 eV/atom
1.0
3.5368 0.0000 0.0000
0.0000 3.5368 0.0000
0.0000 0.0000 3.5368
Er Ag
1 1
Cartesian
0.0000 0.0000 0.0000
1.7684 1.7684 1.7684

ZnBiOF2 (meta-GGA SCAN, PBEsol geometry); energy relative to the elements, uncorrected = -1.10 eV per atom; total magnetization = 0.169 μB/atom; total DFT energy (no corrections) = -110.93 eV for the cell shown; volume = 90 Å³/cell; symmetry = P4/mmm
1.0
4.5376 0.0000 0.0000
0.0000 4.5376 0.0000
0.0000 0.0000 4.3776
Zn Bi O F
1 1 1 2
Cartesian
0.0000 0.0000 0.0000
2.2688 2.2688 2.1888
2.2688 2.2688 0.0000
0.0000 2.2688 2.1888
2.2688 0.0000 2.1888

InWSe (meta-GGA SCAN, PBEsol geometry); energy relative to the elements, uncorrected = 0.31 eV per atom; total magnetization = 0.000 μB/atom; total DFT energy (no corrections) = -122.21 eV for the cell shown; volume = 58 Å³/cell; symmetry = I4mm
1.0
-1.5227 1.5227 6.2433
1.5227 -1.5227 6.2433
1.5227 1.5227 -6.2433
In W Se
1 1 1
Cartesian
0.0000 0.0000 0.0000
0.0000 0.0000 4.1516
0.0000 0.0000 9.0016

Cr3TeH (meta-GGA SCAN, PBEsol geometry); total magnetization = 1.236 μB/atom; total DFT energy (no corrections) = -94.88 eV for the cell shown; volume = 57 Å³/cell; symmetry = Pm-3m
1.0
3.8384 0.0000 0.0000
0.0000 3.8384 0.0000
0.0000 0.0000 3.8384
Cr Te H
3 1 1
Cartesian
0.0000 0.0000 1.9192
0.0000 1.9192 0.0000
1.9192 0.0000 0.0000
1.9192 1.9192 1.9192
0.0000 0.0000 0.0000

Zr6Al16Co7 (meta-GGA SCAN, PBEsol geometry); total magnetization = 0.225 μB/atom; total DFT energy (no corrections) = -446.64 eV for the cell shown; volume = 439 Å³/cell; symmetry = Fm-3m; energy of formation = -0.596 eV/atom
1.0
0.0000 6.0326 6.0326
6.0326 0.0000 6.0326
6.0326 6.0326 0.0000
Zr Al Co
6 16 7
Cartesian
6.0326 6.0326 2.3436
6.0326 2.3436 6.0326
9.7216 6.0326 6.0326
2.3436 6.0326 6.0326
6.0326 9.7216 6.0326
6.0326 6.0326 9.7216
7.4617 4.6035 4.6035
1.9928 1.9928 1.9928
4.0398 4.0398 1.9928
4.0398 1.9928 4.0398
4.6035 4.6035 4.6035
7.4617 7.4617 4.6035
7.4617 4.6035 7.4617
10.0724 8.0254 8.0254
1.9928 4.0398 4.0398
4.6035 7.4617 4.6035
4.6035 4.6035 7.4617
7.4617 7.4617 7.4617
8.0254 10.0724 8.0254
8.0254 8.0254 10.0724
10.0724 10.0724 10.0724
4.6035 7.4617 7.4617
3.0163 3.0163 0.0000
3.0163 0.0000 3.0163
6.0326 3.0163 3.0163
0.0000 3.0163 3.0163
3.0163 6.0326 3.0163
3.0163 3.0163 6.0326
6.0326 6.0326 6.0326

Al2CuP (meta-GGA SCAN, PBEsol geometry); total magnetization = 0.000 μB/atom; total DFT energy (no corrections) = -39.93 eV for the cell shown; volume = 59 Å³/cell; symmetry = F-43m; energy of formation = 0.292 eV/atom
1.0
0.0000 3.0917 3.0917
3.0917 0.0000 3.0917
3.0917 3.0917 0.0000
Al Cu P
2 1 1
Cartesian
0.0000 0.0000 0.0000
1.5459 1.5459 1.5459
3.0917 3.0917 3.0917
4.6376 4.6376 4.6376

Li2InBi (meta-GGA SCAN, PBEsol geometry); total magnetization = 0.000 μB/atom; total DFT energy (no corrections) = -118.40 eV for the cell shown; volume = 85 Å³/cell; symmetry = Fm-3m; energy of formation = -0.415 eV/atom
1.0
0.0000 3.4962 3.4962
3.4962 0.0000 3.4962
3.4962 3.4962 0.0000
Li In Bi
2 1 1
Cartesian
1.7481 1.7481 1.7481
5.2443 5.2443 5.2443
0.0000 0.0000 0.0000
3.4962 3.4962 3.4962